# CaY3Ru

A relaxed structure of CaY3Ru (PBE, the Alexandria database).

Crystal system ... tetragonal
Energy relative to the elements ... 0.2411 eV per atom
DFT total energy ... -29.464 eV/f.u.
N(E_F) ... 5.88 states/eV/f.u.

Lattice parameters (Å, degrees): 5.9948 5.9948 10.4115 73.27 73.27 90.00
Fractional coordinates of all 10 atoms:
Y: 0.6264 0.8762 0.2477
Y: 0.1238 0.3736 0.7523
Y: 0.1238 0.8741 0.7523
Y: 0.1259 0.8762 0.2477
Y: 0.2846 0.2846 0.4307
Y: 0.7154 0.7154 0.5693
Ru: 0.0000 0.0000 0.0000
Ru: 0.2500 0.7500 0.5000
Ca: 0.5455 0.0455 0.9090
Ca: 0.9545 0.4545 0.0910



# CaY3Ru

A relaxed structure of CaY3Ru (PBE, the Alexandria database).

Crystal system ... triclinic
Energy relative to the elements ... -0.1522 eV per atom
DFT total energy ... -31.430 eV/f.u.
N(E_F) ... 6.98 states/eV/f.u.

Lattice parameters (Å, degrees): 3.8346 9.1852 8.8812 79.20 77.53 90.13
Fractional coordinates of all 10 atoms:
Y: 0.8196 0.1665 0.0186
Y: 0.0296 0.2550 0.5993
Y: 0.1408 0.9765 0.3732
Y: 0.9074 0.5492 0.8469
Y: 0.5792 0.5763 0.5047
Y: 0.2271 0.4089 0.2041
Ru: 0.4245 0.3484 0.8106
Ru: 0.6545 0.2007 0.3482
Ca: 0.4534 0.9210 0.7484
Ca: 0.7605 0.7756 0.1249



# CaY3Ru

A relaxed structure of CaY3Ru (PBE, the Alexandria database).

Crystal system ... cubic
Energy relative to the elements ... -0.1504 eV per atom
DFT total energy ... -31.421 eV/f.u.
N(E_F) ... 2.70 states/eV/f.u.

Lattice parameters (Å, degrees): 5.4525 5.4525 5.4525 90.00 90.00 90.00
Fractional coordinates of all 5 atoms:
Y: 0.0000 0.5000 0.0000
Y: 0.0000 0.0000 0.5000
Y: 0.5000 0.0000 0.0000
Ru: 0.0000 0.0000 0.0000
Ca: 0.5000 0.5000 0.5000



# CaY3Ru

A relaxed structure of CaY3Ru (PBE, the Alexandria database).

Crystal system ... cubic
Energy relative to the elements ... 0.1037 eV per atom
DFT total energy ... -30.151 eV/f.u.
N(E_F) ... 7.11 states/eV/f.u.

Lattice parameters (Å, degrees): 10.2811 10.2811 10.2811 60.00 60.00 60.00
Fractional coordinates of all 20 atoms:
Y: 0.6848 0.3152 0.3152
Y: 0.9348 0.5652 0.5652
Y: 0.5652 0.5652 0.9348
Y: 0.5652 0.9348 0.9348
Y: 0.9348 0.5652 0.9348
Y: 0.6848 0.3152 0.6848
Y: 0.5652 0.9348 0.5652
Y: 0.9348 0.9348 0.5652
Y: 0.3152 0.6848 0.3152
Y: 0.3152 0.6848 0.6848
Y: 0.3152 0.3152 0.6848
Y: 0.6848 0.6848 0.3152
Ru: 0.6250 0.6250 0.6250
Ru: 0.6250 0.1250 0.6250
Ru: 0.1250 0.6250 0.6250
Ru: 0.6250 0.6250 0.1250
Ca: 0.1250 0.1250 0.1250
Ca: 0.1250 0.6250 0.1250
Ca: 0.6250 0.1250 0.1250
Ca: 0.1250 0.1250 0.6250



# CaYRu2

A relaxed structure of CaYRu2 (PBE, the Alexandria database).

Crystal system ... tetragonal
Energy relative to the elements ... 0.2881 eV per atom
DFT total energy ... -25.865 eV/f.u.
N(E_F) ... 4.59 states/eV/f.u.

Lattice parameters (Å, degrees): 5.6866 5.6866 5.6866 138.50 138.50 60.13
Fractional coordinates of all 4 atoms:
Y: 0.5000 0.5000 0.0000
Ru: 0.0000 0.0000 0.0000
Ru: 0.2500 0.7500 0.5000
Ca: 0.7500 0.2500 0.5000



# Ca4YRu

A relaxed structure of Ca4YRu (PBE, the Alexandria database).

Crystal system ... cubic
Energy relative to the elements ... 0.8269 eV per atom
DFT total energy ... -18.785 eV/f.u.
N(E_F) ... 7.64 states/eV/f.u.

Lattice parameters (Å, degrees): 6.4371 6.4371 6.4371 60.00 60.00 60.00
Fractional coordinates of all 6 atoms:
Ca: 0.8712 0.3763 0.3763
Ca: 0.3763 0.3763 0.8712
Ca: 0.3763 0.8712 0.3763
Ca: 0.3763 0.3763 0.3763
Y: 0.0000 0.0000 0.0000
Ru: 0.7500 0.7500 0.7500



# CaYRu2

A relaxed structure of CaYRu2 (PBE, the Alexandria database).

Crystal system ... orthorhombic
Energy relative to the elements ... 0.1709 eV per atom
DFT total energy ... -26.334 eV/f.u.
N(E_F) ... 5.36 states/eV/f.u.

Lattice parameters (Å, degrees): 3.1094 3.6507 8.1737 90.00 90.00 90.00
Fractional coordinates of all 4 atoms:
Y: 0.0000 0.0000 0.4202
Ru: 0.0000 0.0000 0.0731
Ru: 0.5000 0.5000 0.1908
Ca: 0.5000 0.5000 0.8159



# Ca2YRu

A relaxed structure of Ca2YRu (PBE, the Alexandria database).

Crystal system ... cubic
Energy relative to the elements ... 0.3972 eV per atom
DFT total energy ... -18.154 eV/f.u.
N(E_F) ... 5.41 states/eV/f.u.

Lattice parameters (Å, degrees): 5.2347 5.2347 5.2347 60.00 60.00 60.00
Fractional coordinates of all 4 atoms:
Y: 0.0000 0.0000 0.0000
Ru: 0.5000 0.5000 0.5000
Ca: 0.2500 0.2500 0.2500
Ca: 0.7500 0.7500 0.7500